No. 1
A relaxed structure of Ta2AlCo, computed with PBE-GGA.

extended XYZ file:
```
4
Lattice="-2.123 4.622 7.422 -3.164 2.044 8.171 -0.381 2.650 8.590" Properties=species:S:1:pos:R:3 pbc="T T T"
Co -4.265 7.010 18.198
Al -2.781 4.570 11.865
Ta -0.056 0.092 0.238
Ta -1.400 2.301 5.974
```

Computed properties:
Its total DFT energy (no corrections) is -34.32 eV per cell. The formation energy is 58.1 meV per atom. As for the crystal system: trigonal.

No. 2
A relaxed structure of TaAl2Co, computed with PBE-GGA.

extended XYZ file:
```
4
Lattice="0.000 3.077 3.077 3.077 0.000 3.077 3.077 3.077 0.000" Properties=species:S:1:pos:R:3 pbc="T T T"
Co 0.000 0.000 0.000
Al 1.539 1.539 1.539
Al 4.616 4.616 4.616
Ta 3.077 3.077 3.077
```

Computed properties:
Its total DFT energy (no corrections) is -26.31 eV per cell. The formation energy is 34.5 meV per atom. As for the crystal system: cubic.

No. 3
A relaxed structure of Ta2AlCo, computed with PBE-GGA.

extended XYZ file:
```
4
Lattice="-1.429 1.099 3.198 0.141 -3.935 1.415 3.703 0.648 1.432" Properties=species:S:1:pos:R:3 pbc="T T T"
Co 1.922 -1.644 1.423
Al 1.137 0.873 2.315
Ta 0.000 0.000 0.000
Ta -0.644 -1.418 2.306
```

Computed properties:
Its total DFT energy (no corrections) is -35.11 eV per cell. The formation energy is -138.7 meV per atom. As for the crystal system: orthorhombic.

No. 4
A relaxed structure of TaAl2Co, computed with PBE-GGA.

extended XYZ file:
```
4
Lattice="-3.023 3.597 -7.364 -5.418 2.375 -6.427 -4.668 4.953 -5.476" Properties=species:S:1:pos:R:3 pbc="T T T"
Co -3.277 2.731 -4.816
Al -12.979 10.818 -19.076
Al -6.683 5.570 -9.823
Ta -9.831 8.194 -14.449
```

Computed properties:
Its total DFT energy (no corrections) is -26.86 eV per cell. The formation energy is -103.7 meV per atom. As for the crystal system: trigonal.

No. 5
A relaxed structure of Ta2AlCo, computed with PBE-GGA.

extended XYZ file:
```
4
Lattice="-0.515 1.459 5.066 2.254 0.420 4.775 1.676 4.166 1.074" Properties=species:S:1:pos:R:3 pbc="T T T"
Co 0.853 1.516 2.706
Al 1.710 2.957 5.710
Ta 1.738 1.928 9.651
Ta 2.561 4.543 8.144
```

Computed properties:
Its total DFT energy (no corrections) is -35.21 eV per cell. The formation energy is -164.7 meV per atom. As for the crystal system: orthorhombic.

No. 6
A relaxed structure of TaAlCo3, computed with PBE-GGA.

extended XYZ file:
```
5
Lattice="-2.856 1.353 -2.652 -2.926 -0.596 2.847 0.551 3.852 1.372" Properties=species:S:1:pos:R:3 pbc="T T T"
Co -1.463 -0.298 1.424
Co 0.275 1.926 0.686
Co -1.428 0.676 -1.326
Al 0.000 0.000 0.000
Ta -2.616 2.304 0.784
```

Computed properties:
The energy above the most stable polymorph in this dataset is 0 meV/atom. Its total DFT energy (no corrections) is -33.08 eV per cell. The formation energy is 766.6 meV per atom. As for the crystal system: cubic.

No. 7
A relaxed structure of Ta2AlCo, computed with PBE-GGA.

extended XYZ file:
```
4
Lattice="-0.778 2.547 -1.006 -2.500 -0.235 1.342 2.961 3.311 6.094" Properties=species:S:1:pos:R:3 pbc="T T T"
Co 0.522 3.572 4.616
Al 1.603 1.792 3.299
Ta 2.838 3.173 5.841
Ta -0.838 2.051 1.816
```

Computed properties:
Its total DFT energy (no corrections) is -35.52 eV per cell. The formation energy is -242.5 meV per atom. As for the crystal system: tetragonal.

No. 8
A relaxed structure of TaAl2Co, computed with PBE-GGA.

extended XYZ file:
```
4
Lattice="6.139 0.014 0.046 -2.440 4.144 0.002 1.260 0.737 2.387" Properties=species:S:1:pos:R:3 pbc="T T T"
Co -0.590 2.441 1.194
Al 0.000 0.000 0.000
Al 3.700 0.376 1.216
Ta 1.850 2.079 0.024
```

Computed properties:
Its total DFT energy (no corrections) is -26.92 eV per cell. The formation energy is -120.3 meV per atom. As for the crystal system: orthorhombic.

No. 9
A relaxed structure of TaAlCo2, computed with PBE-GGA.

extended XYZ file:
```
4
Lattice="2.892 0.000 0.000 0.000 4.793 0.042 0.000 3.283 3.955" Properties=species:S:1:pos:R:3 pbc="T T T"
Co 0.000 0.000 0.000
Co 1.446 2.396 0.021
Al 0.000 1.642 1.978
Ta 1.446 4.038 1.998
```

Computed properties:
Its total DFT energy (no corrections) is -30.19 eV per cell. The formation energy is -95.3 meV per atom. As for the crystal system: monoclinic.

No. 10
A relaxed structure of TaAlCo2, computed with PBE-GGA.

extended XYZ file:
```
8
Lattice="6.518 0.000 0.000 0.000 6.518 0.000 3.259 3.259 2.700" Properties=species:S:1:pos:R:3 pbc="T T T"
Co 4.872 1.630 0.675
Co 1.647 4.889 0.675
Co 4.889 4.906 2.025
Co 8.148 8.131 2.025
Al 3.259 3.259 0.000
Al 3.259 6.518 1.350
Ta 0.000 0.000 0.000
Ta 6.518 3.259 1.350
```

Computed properties:
Its total DFT energy (no corrections) is -57.62 eV per cell. The formation energy is 248.8 meV per atom. As for the crystal system: tetragonal.

No. 11
A relaxed structure of TaAl5Co6, computed with PBE-GGA.

extended XYZ file:
```
12
Lattice="-2.732 0.622 -3.010 -3.209 -4.357 2.013 -4.444 4.243 2.101" Properties=species:S:1:pos:R:3 pbc="T T T"
Co -6.160 -1.316 -0.299
Co -4.575 0.836 -1.293
Co -2.182 -0.797 -0.993
Co -3.759 -2.939 -0.004
Co -5.810 -0.329 2.397
Co -4.225 1.824 1.403
Al -6.392 1.069 0.405
Al -2.406 1.640 -0.286
Al -1.604 -2.179 1.006
Al -4.770 3.225 -0.622
Al -3.993 -0.562 0.699
Ta 0.000 0.000 0.000
```

Computed properties:
Its total DFT energy (no corrections) is -79.75 eV per cell. The formation energy is -546.2 meV per atom. As for the crystal system: orthorhombic.

No. 12
A relaxed structure of TaAlCo2, computed with PBE-GGA.

extended XYZ file:
```
4
Lattice="-1.151 -2.201 -1.496 3.896 -1.224 -1.196 0.276 -2.485 3.443" Properties=species:S:1:pos:R:3 pbc="T T T"
Co 0.000 0.000 0.000
Co 2.086 -1.855 1.124
Al -0.438 -2.343 0.974
Ta 1.372 -1.713 -1.346
```

Computed properties:
Its total DFT energy (no corrections) is -31.19 eV per cell. The formation energy is -346.7 meV per atom. As for the crystal system: tetragonal.

No. 13
A relaxed structure of Ta2AlCo, computed with PBE-GGA.

extended XYZ file:
```
4
Lattice="-0.227 -2.246 3.206 2.814 -0.351 -0.047 3.047 4.189 3.151" Properties=species:S:1:pos:R:3 pbc="T T T"
Co 4.283 1.755 3.931
Al 1.352 -0.164 2.379
Ta 5.797 3.804 3.075
Ta 2.995 1.953 1.580
```

Computed properties:
Its total DFT energy (no corrections) is -35.12 eV per cell. The formation energy is -141.9 meV per atom. As for the crystal system: monoclinic.

No. 14
A relaxed structure of TaAl2Co, computed with PBE-GGA.

extended XYZ file:
```
8
Lattice="-0.498 -1.013 -6.805 -6.126 -3.040 0.900 -4.492 0.275 -3.208" Properties=species:S:1:pos:R:3 pbc="T T T"
Co -3.312 -2.026 -2.952
Co -6.965 -2.396 -2.630
Al -2.176 -0.897 -4.625
Al -5.037 -2.005 -1.408
Al -6.138 -1.455 -4.578
Al -8.878 -3.198 -7.614
Ta 0.000 0.000 0.000
Ta -4.151 -1.382 -6.483
```

Computed properties:
Its total DFT energy (no corrections) is -52.27 eV per cell. The formation energy is 76.9 meV per atom. As for the crystal system: tetragonal.

No. 15
A relaxed structure of TaAlCo3, computed with PBE-GGA.

extended XYZ file:
```
5
Lattice="4.431 0.000 0.000 0.000 4.431 0.000 0.000 0.000 4.431" Properties=species:S:1:pos:R:3 pbc="T T T"
Co 0.000 2.215 0.000
Co 0.000 0.000 2.215
Co 2.215 0.000 0.000
Al 2.215 2.215 2.215
Ta 0.000 0.000 0.000
```

Computed properties:
The energy above the most stable polymorph in this dataset is 500 meV/atom. Its total DFT energy (no corrections) is -30.58 eV per cell. The formation energy is 1267.0 meV per atom. As for the crystal system: cubic.

No. 16
A relaxed structure of TaAlCo2, computed with PBE-GGA.

extended XYZ file:
```
4
Lattice="2.814 0.000 0.000 0.000 2.814 0.000 0.000 0.000 6.527" Properties=species:S:1:pos:R:3 pbc="T T T"
Co 0.000 0.000 6.381
Co 0.000 0.000 3.410
Al 1.407 1.407 4.895
Ta 1.407 1.407 1.632
```

Computed properties:
Its total DFT energy (no corrections) is -31.36 eV per cell. The formation energy is -387.2 meV per atom. As for the crystal system: tetragonal.

No. 17
A relaxed structure of TaAl2Co, computed with PBE-GGA.

extended XYZ file:
```
4
Lattice="-0.284 -3.826 -3.584 2.494 -2.743 -3.717 1.558 -3.828 1.344" Properties=species:S:1:pos:R:3 pbc="T T T"
Co 1.881 -5.185 -2.934
Al 2.209 -6.563 -7.280
Al 2.846 -7.882 -4.734
Ta 0.926 -2.534 -1.287
```

Computed properties:
Its total DFT energy (no corrections) is -27.15 eV per cell. The formation energy is -177.7 meV per atom. As for the crystal system: monoclinic.

No. 18
A relaxed structure of TaAlCo2, computed with PBE-GGA.

extended XYZ file:
```
4
Lattice="2.794 0.000 0.000 0.000 3.780 0.000 0.000 0.000 5.111" Properties=species:S:1:pos:R:3 pbc="T T T"
Co 0.000 0.000 4.912
Co 1.397 1.890 1.393
Al 1.397 1.890 4.074
Ta 0.000 0.000 2.400
```

Computed properties:
Its total DFT energy (no corrections) is -30.49 eV per cell. The formation energy is -171.2 meV per atom. As for the crystal system: orthorhombic.

No. 19
A relaxed structure of TaAl2Co, computed with PBE-GGA.

extended XYZ file:
```
4
Lattice="-1.705 2.179 -1.090 -2.318 -1.860 -0.093 -1.656 1.760 6.107" Properties=species:S:1:pos:R:3 pbc="T T T"
Co -0.773 0.821 2.850
Al -0.022 0.023 0.081
Al -2.486 0.663 1.156
Ta -3.227 1.451 3.890
```

Computed properties:
Its total DFT energy (no corrections) is -27.54 eV per cell. The formation energy is -274.9 meV per atom. As for the crystal system: tetragonal.

No. 20
A relaxed structure of Ta3AlCo8, computed with PBE-GGA.

extended XYZ file:
```
12
Lattice="-5.777 -4.510 -3.662 -1.730 -5.344 -5.964 -2.616 -7.537 -1.867" Properties=species:S:1:pos:R:3 pbc="T T T"
Ta -6.303 -10.827 -7.156
Ta -0.032 -0.055 -0.036
Ta -5.034 -8.648 -5.716
Al -1.290 -2.216 -1.464
Co -4.387 -6.004 -5.536
Co -1.945 -4.861 -1.657
Co -4.833 -7.108 -3.473
Co -1.502 -3.766 -3.704
Co -8.219 -14.119 -9.331
Co -3.162 -5.431 -3.590
Co -2.795 -7.528 -4.632
Co -3.525 -3.349 -2.554
```

Computed properties:
Its total DFT energy (no corrections) is -99.01 eV per cell. The formation energy is -238.4 meV per atom. As for the crystal system: trigonal.

How do the records compare in total moment? In the order shown, they have 0.3 0.0 0.0 0.9 0.7 1.0 0.4 1.5 0.7 0.0 2.2 0.3 0.0 0.0 0.0 0.0 0.0 0.2 0.7 3.5 μB per formula unit.